No. 1
Compound: Ac3PrNd2Te6
Source: the Alexandria database
Functional: GGA-PBE
Structure: optimized geometry

The value obtained for the energy relative to the elements, uncorrected is -1.459 eV/atom.

It has space group C2/m (No. 12), with a = 20.1450 Å, b = 4.6011 Å, c = 9.2900 Å, α = 90.00°, β = 103.54° and γ = 90.00°. The inequivalent atoms are Ac at (0.0000, 0.0000, 0.0000), Ac at (0.1659, 0.5000, 0.3334), Pr at (0.0000, 0.0000, 0.5000), Nd at (0.1666, 0.5000, 0.8335), Te at (0.0036, 0.5000, 0.7439), Te at (0.1645, 0.0000, 0.5921) and Te at (0.1700, 0.0000, 0.0757).

No. 2
Compound: Rb2Zn2As
Source: the Alexandria database
Functional: GGA-PBE
Structure: optimized geometry

The calculation puts the formation energy from the elements at 0.07 eV/atom. The calculation puts the excess energy over the best structure of this formula in the dataset at 0.0576 eV per atom.

It has space group I4/mmm (No. 139), with a = 3.6834 Å, b = 3.6834 Å, c = 23.2193 Å, α = 90.00°, β = 90.00° and γ = 90.00°. The inequivalent atoms are Rb at (0.0000, 0.0000, 0.1003), Zn at (0.0000, 0.5000, 0.2500) and As at (0.0000, 0.0000, 0.5000).

No. 3
Compound: Al2CdRu2
Source: the Alexandria database
Functional: GGA-PBE
Structure: optimized geometry

The calculation puts the formation energy from the elements at -0.30 eV/atom. The calculation puts the excess energy over the best structure of this formula in the dataset at 0.0153 eV per atom.

It has space group P4/mbm (No. 127), with a = 7.0620 Å, b = 7.0620 Å, c = 3.1468 Å, α = 90.00°, β = 90.00° and γ = 90.00°. The inequivalent atoms are Al at (0.1450, 0.3550, 0.0000), Cd at (0.0000, 0.0000, 0.5000) and Ru at (0.1474, 0.6474, 0.5000).

No. 4
Compound: LiTl2Ga2
Source: the Alexandria database
Functional: GGA-PBE
Structure: optimized geometry

The calculation puts the formation energy from the elements at 0.01 eV/atom. The calculation puts the excess energy over the best structure of this formula in the dataset at 0.0077 eV per atom.

It has space group P4/mbm (No. 127), with a = 7.4489 Å, b = 7.4489 Å, c = 4.2919 Å, α = 90.00°, β = 90.00° and γ = 90.00°. The inequivalent atoms are Li at (0.0000, 0.0000, 0.0000), Tl at (0.1811, 0.3189, 0.5000) and Ga at (0.1260, 0.6260, 0.0000).

No. 5
Compound: CsNaZr2Tl
Source: the Alexandria database
Functional: GGA-PBE
Structure: optimized geometry

The calculation puts the formation energy from the elements at 1.37 eV/atom.

It has space group P4/mmm (No. 123), with a = 5.4682 Å, b = 5.4682 Å, c = 5.4775 Å, α = 90.00°, β = 90.00° and γ = 90.00°. The inequivalent atoms are Cs at (0.0000, 0.0000, 0.0000), Na at (0.5000, 0.5000, 0.5000), Zr at (0.0000, 0.5000, 0.5000) and Tl at (0.5000, 0.5000, 0.0000).

No. 6
Compound: PuSe2Cl8
Source: the Alexandria database
Functional: GGA-PBE
Structure: optimized geometry

The value obtained for the energy relative to the elements, uncorrected is -0.769 eV/atom.

It has space group C2/m (No. 12), with a = 13.5004 Å, b = 8.2722 Å, c = 7.8020 Å, α = 90.00°, β = 104.94° and γ = 90.00°. The inequivalent atoms are Pu at (0.0000, 0.0000, 0.0000), Se at (0.1625, 0.0000, 0.5071), Cl at (0.0517, 0.2125, 0.8054), Cl at (0.1848, 0.5000, 0.3216) and Cl at (0.1991, 0.0000, 0.2408).

No. 7
Compound: HoMgZn2Pd4
Source: the Alexandria database
Functional: GGA-PBE
Structure: optimized geometry

The calculation puts the formation energy from the elements at -0.69 eV/atom.

It has space group R-3m (No. 166, hexagonal axes), with a = 4.5039 Å, b = 4.5039 Å, c = 22.6509 Å, α = 90.00°, β = 90.00° and γ = 120.00°. The inequivalent atoms are Ho at (0.0000, 0.0000, 0.0000), Mg at (0.0000, 0.0000, 0.5000), Zn at (0.0000, 0.0000, 0.2471), Pd at (0.0000, 0.0000, 0.1268) and Pd at (0.0000, 0.0000, 0.3843).

No. 8
Compound: CaZrAu
Source: the Alexandria database
Functional: GGA-PBE
Structure: optimized geometry

The calculation puts the formation energy from the elements at -0.05 eV/atom. The calculation puts the excess energy over the best structure of this formula in the dataset at 0.2053 eV per atom.

It has space group P3m1 (No. 156), with a = 3.5435 Å, b = 3.5435 Å, c = 7.1875 Å, α = 90.00°, β = 90.00° and γ = 120.00°. The inequivalent atoms are Ca at (0.0000, 0.0000, 0.0000), Zr at (0.6667, 0.3333, 0.4051) and Au at (0.3333, 0.6667, 0.6787).